A plane-wave DFT calculation with PBE was carried out for a geometry-optimized Cs2TlGaAu structure.

Output
Energy (eV/atom): -2.07
Energy relative to the elements (eV per atom): 0.00

a b c (Å): 7.0361 7.0361 4.9091
angles (deg): 90.00 90.00 90.00
Last column: nearest neighbours and their distance in Å.
Fractional positions:
Tl 0.5000 0.5000 0.5000  8 Cs 4.29
Cs 0.5000 0.0000 0.0000  2 Au 3.52
Cs 0.0000 0.5000 0.0000  2 Au 3.52
Au 0.0000 0.0000 0.0000  2 Ga 2.45
Ga 0.0000 0.0000 0.5000  2 Au 2.45